Zn2GaNiF | PBE with a Hubbard U | relaxed

```
Zn2GaNiF
1.0
-1.456 -4.078 1.267
2.272 -1.680 -2.796
3.404 -0.299 2.946
Zn F Ga Ni
2 1 1 1
Direct
0.500 0.000 0.000 Zn
0.000 0.000 0.500 Zn
0.000 0.000 0.000 F
0.500 0.500 0.500 Ga
0.000 0.500 0.000 Ni
```

- E: -2.08 eV/atom
- Size of the total moment: 0.93 μB/cell



ZnGaNiF6 | PBE with a Hubbard U | relaxed

```
ZnGaNiF6
1.0
-5.264 -0.412 0.184
2.649 -1.843 -4.182
0.776 -8.105 4.064
F Ga Zn Ni
12 2 2 2
Direct
0.672 0.673 0.627 F
0.327 0.999 0.627 F
0.673 0.672 0.127 F
0.328 0.327 0.373 F
0.672 0.999 0.873 F
0.328 0.001 0.127 F
0.001 0.673 0.873 F
0.999 0.327 0.127 F
0.001 0.328 0.627 F
0.327 0.328 0.873 F
0.999 0.672 0.373 F
0.673 0.001 0.373 F
0.667 0.333 0.250 Ga
0.333 0.667 0.750 Ga
0.333 0.667 0.250 Zn
0.667 0.333 0.750 Zn
0.000 0.000 0.500 Ni
0.000 0.000 0.000 Ni
```

- E: -4.12 eV/atom
- Size of the total moment: 3.07 μB/cell